[1]
ZrFeMo2 | PBE | relaxed

Geometry as extended XYZ:
```
4
Lattice="2.789 0.000 0.000 0.000 4.569 0.000 -0.923 0.000 5.067" Properties=species:S:1:pos:R:3 pbc="T T T"
Zr 0.000 0.000 0.000
Fe 0.933 0.000 2.533
Mo 0.040 2.285 3.769
Mo 1.826 2.285 1.298
```

Calculated values
Distance to the lowest polymorph of the same formula   158 meV per atom



[2]
ZrFeMo3 | PBE | relaxed

Geometry as extended XYZ:
```
5
Lattice="4.503 0.000 0.000 0.000 4.503 0.000 0.000 0.000 4.503" Properties=species:S:1:pos:R:3 pbc="T T T"
Zr 0.000 0.000 0.000
Fe 2.252 2.252 2.252
Mo 0.000 2.252 2.252
Mo 2.252 0.000 2.252
Mo 2.252 2.252 0.000
```

Calculated values
Distance to the lowest polymorph of the same formula   0 meV per atom



> The lowest distance to the lowest polymorph of the same formula belongs to which entry?

ZrFeMo3